No. 1
GGA-PBE NdDy2Ho3Bi6, optimized geometry; energy relative to the elements = -0.86 eV per atom; SG = C2/m
1.0
4.491 0.000 0.000
0.000 8.976 0.326
-2.246 -2.580 9.438
Bi Dy Ho Nd
6 2 3 1
direct
0.000 0.257 0.001 Bi
0.669 0.084 0.339 Bi
0.331 0.916 0.661 Bi
0.666 0.583 0.333 Bi
0.334 0.417 0.667 Bi
0.000 0.743 0.999 Bi
0.833 0.667 0.665 Dy
0.167 0.333 0.335 Dy
0.835 0.168 0.669 Ho
0.165 0.832 0.331 Ho
0.500 0.500 0.000 Ho
0.500 0.000 0.000 Nd



No. 2
GGA-PBE RbV2AsOs, optimized geometry; energy relative to the elements = 1.95 eV per atom; SG = P4/mmm
1.0
4.601 0.000 0.000
0.000 5.543 0.000
0.000 0.000 4.601
V Os Rb As
2 1 1 1
direct
0.500 0.000 0.000 V
0.000 0.000 0.500 V
0.500 0.500 0.500 Os
0.000 0.500 0.000 Rb
0.000 0.000 0.000 As



No. 3
GGA-PBE Li2AsF, optimized geometry; SG = Fm-3m; relative energy among the computed polymorphs = 858 meV per atom
1.0
0.000 3.135 3.135
3.135 0.000 3.135
3.135 3.135 0.000
F Li As
1 2 1
direct
0.000 0.000 0.000 F
0.750 0.750 0.750 Li
0.250 0.250 0.250 Li
0.500 0.500 0.500 As



No. 4
GGA-PBE HfGa2Pd, optimized geometry; energy relative to the elements = -0.60 eV per atom; SG = Pnma
1.0
4.095 0.000 0.000
0.000 6.608 0.000
0.000 0.000 9.911
Ga Pd Hf
8 4 4
direct
0.750 0.552 0.663 Ga
0.250 0.715 0.530 Ga
0.250 0.948 0.163 Ga
0.250 0.448 0.337 Ga
0.250 0.215 0.970 Ga
0.750 0.052 0.837 Ga
0.750 0.285 0.470 Ga
0.750 0.785 0.030 Ga
0.750 0.932 0.594 Pd
0.250 0.068 0.406 Pd
0.250 0.568 0.094 Pd
0.750 0.432 0.906 Pd
0.750 0.748 0.320 Hf
0.250 0.252 0.680 Hf
0.750 0.248 0.180 Hf
0.250 0.752 0.820 Hf



Number 1: V 384 Å³/f.u.. Number 2: V 117 Å³/f.u.. Number 3: V 62 Å³/f.u.. Number 4: V 67 Å³/f.u..